No. 1
A geometry-optimized Hf3VI structure. Source: the Alexandria database, functional PBE-GGA.

Computed properties:
Density ... 9.7 Mg/m³
SG ... No. 221
Energy relative to the lowest polymorph listed for this composition ... 0.000 eV per atom
DFT total energy ... -7.3086 eV per atom

Lattice parameters (Å, degrees): 4.9681 4.9681 4.9681 90.00 90.00 90.00
Last column: nearest neighbours and their distance in Å.
Element x y z (fractional)
Hf (0.5000, 0.0000, 0.0000)  2 V 2.48
Hf (0.0000, 0.5000, 0.0000)  2 V 2.48
V (0.0000, 0.0000, 0.0000)  6 Hf 2.48
I (0.5000, 0.5000, 0.5000)  12 Hf 3.51
Hf (0.0000, 0.0000, 0.5000)  2 V 2.48

=====

No. 2
A geometry-optimized HfWI2 structure. Source: the Alexandria database, functional PBE-GGA.

Computed properties:
Density ... 12.2 Mg/m³
SG ... No. 225
Energy relative to the lowest polymorph listed for this composition ... 0.000 eV per atom
DFT total energy ... -5.4813 eV per atom

Lattice parameters (Å, degrees): 4.9082 4.9082 4.9082 60.00 60.00 60.00
Last column: nearest neighbours and their distance in Å.
Element x y z (fractional)
I (0.2500, 0.2500, 0.2500)  4 W 3.01, 4 Hf 3.01
Hf (0.0000, 0.0000, 0.0000)  8 I 3.01
I (0.7500, 0.7500, 0.7500)  4 W 3.01, 4 Hf 3.01
W (0.5000, 0.5000, 0.5000)  8 I 3.01

=====

No. 3
A geometry-optimized Hf3WI structure. Source: the Alexandria database, functional PBE-GGA.

Computed properties:
Density ... 10.8 Mg/m³
SG ... No. 221
Energy relative to the lowest polymorph listed for this composition ... 0.898 eV per atom
DFT total energy ... -7.0673 eV per atom

Lattice parameters (Å, degrees): 5.0693 5.0693 5.0693 90.00 90.00 90.00
Last column: nearest neighbours and their distance in Å.
Element x y z (fractional)
Hf (0.5000, 0.0000, 0.0000)  2 I 2.53
Hf (0.0000, 0.0000, 0.5000)  2 I 2.53
W (0.5000, 0.5000, 0.5000)  12 Hf 3.58
I (0.0000, 0.0000, 0.0000)  6 Hf 2.53
Hf (0.0000, 0.5000, 0.0000)  2 I 2.53

=====

No. 4
A geometry-optimized HfWI3 structure. Source: the Alexandria database, functional PBE-GGA.

Computed properties:
Density ... 6.8 Mg/m³
SG ... No. 221
Energy relative to the lowest polymorph listed for this composition ... 0.000 eV per atom
DFT total energy ... -4.4147 eV per atom

Lattice parameters (Å, degrees): 5.6668 5.6668 5.6668 90.00 90.00 90.00
Last column: nearest neighbours and their distance in Å.
Element x y z (fractional)
I (0.5000, 0.0000, 0.0000)  2 Hf 2.83
I (0.0000, 0.5000, 0.0000)  2 Hf 2.83
W (0.5000, 0.5000, 0.5000)  12 I 4.01
Hf (0.0000, 0.0000, 0.0000)  6 I 2.83
I (0.0000, 0.0000, 0.5000)  2 Hf 2.83

=====

No. 5
A geometry-optimized HfWI2 structure. Source: the Alexandria database, functional PBE-GGA.

Computed properties:
Density ... 8.5 Mg/m³
SG ... No. 122
Energy relative to the lowest polymorph listed for this composition ... 0.485 eV per atom
DFT total energy ... -4.9964 eV per atom

Lattice parameters (Å, degrees): 6.5610 6.5610 7.2637 63.15 63.15 90.00
Last column: nearest neighbours and their distance in Å.
Element x y z (fractional)
I (0.1012, 0.6250, 0.2500)  2 W 2.62, 2 Hf 2.81
Hf (0.5000, 0.5000, 0.0000)  4 I 2.81
I (0.3750, 0.3512, 0.7500)  2 W 2.62, 2 Hf 2.81
W (0.7500, 0.2500, 0.5000)  4 I 2.62
I (0.6488, 0.1250, 0.2500)  2 W 2.62, 2 Hf 2.81
I (0.8750, 0.8988, 0.7500)  2 W 2.62, 2 Hf 2.81
Hf (0.2500, 0.7500, 0.5000)  4 I 2.81
W (0.0000, 0.0000, 0.0000)  4 I 2.62

=====

No. 6
A geometry-optimized HfW3I structure. Source: the Alexandria database, functional PBE-GGA.

Computed properties:
Density ... 12.0 Mg/m³
SG ... No. 221
Energy relative to the lowest polymorph listed for this composition ... 0.286 eV per atom
DFT total energy ... -7.3624 eV per atom

Lattice parameters (Å, degrees): 4.9165 4.9165 4.9165 90.00 90.00 90.00
Last column: nearest neighbours and their distance in Å.
Element x y z (fractional)
W (0.0000, 0.5000, 0.0000)  2 Hf 2.46
I (0.5000, 0.5000, 0.5000)  12 W 3.48
W (0.5000, 0.0000, 0.0000)  2 Hf 2.46
Hf (0.0000, 0.0000, 0.0000)  6 W 2.46
W (0.0000, 0.0000, 0.5000)  2 Hf 2.46

=====

What M_tot values result from the calculations? In sequence: 0.623; 0.247; 1.374; 5.871; 1.021; 0.000 μB per cell.
What raw formation energy values result from the calculations? In sequence: 0.80; 1.02; 1.81; 1.10; 1.51; 2.71 eV per atom.